(1)
The following is a PBE-GGA calculation of a geometry-optimized TiBeCr structure, from Alexandria via LeMat-Bulk. Values from VASP.

Calculated values
E in eV per atom: -7.173
Density in g cm⁻³: 4.906
Total moment in μB/f.u.: 0.000
E_form in meV per atom: -92

The structure in Quantum ESPRESSO input format:
```
&SYSTEM
  ibrav = 0, nat = 6, ntyp = 3
/
ATOMIC_SPECIES
Ti 47.87 Ti.upf
Be 9.01 Be.upf
Cr 52.00 Cr.upf
CELL_PARAMETERS angstrom
3.9401 0.0000 2.2123
1.3106 3.9585 2.2805
-0.0754 0.1684 4.7491
ATOMIC_POSITIONS angstrom
Ti 3.9249 1.5261 4.5468
Ti 1.2505 2.6008 4.6952
Be 2.6254 1.9792 2.2464
Be 1.9323 0.0842 3.4807
Cr 0.0000 0.0000 0.0000
Cr 1.9700 0.0000 1.1061
```

=====

(2)
The following is a PBE-GGA calculation of a geometry-optimized TiBe9Cr2 structure, from Alexandria via LeMat-Bulk. Values from VASP.

Calculated values
E in eV per atom: -5.268
Density in g cm⁻³: 3.569
Total moment in μB/f.u.: 0.000
E_form in meV per atom: -211

The structure in Quantum ESPRESSO input format:
```
&SYSTEM
  ibrav = 0, nat = 24, ntyp = 3
/
ATOMIC_SPECIES
Ti 47.87 Ti.upf
Be 9.01 Be.upf
Cr 52.00 Cr.upf
CELL_PARAMETERS angstrom
4.2785 0.0000 0.0000
-2.1393 3.7053 0.0000
0.0000 0.0000 13.6734
ATOMIC_POSITIONS angstrom
Ti 0.0000 2.4702 10.2551
Ti 2.1393 1.2351 3.4184
Be 0.0000 0.0000 0.0000
Be 0.0000 0.0000 6.8367
Be 0.0000 0.0000 3.4184
Be 0.0000 0.0000 10.2551
Be 0.0000 2.4702 3.4184
Be 2.1393 1.2351 10.2551
Be 0.0000 1.2552 1.6781
Be 1.0522 3.0777 1.6781
Be -1.0522 3.0777 1.6781
Be 2.1393 2.4501 8.5148
Be 1.0870 0.6276 8.5148
Be 3.1915 0.6276 8.5148
Be 1.0870 0.6276 11.9953
Be 2.1393 2.4501 11.9953
Be 3.1915 0.6276 11.9953
Be 1.0522 3.0777 5.1586
Be 0.0000 1.2552 5.1586
Be -1.0522 3.0777 5.1586
Cr 0.0000 2.4702 7.2669
Cr 2.1393 1.2351 0.4302
Cr 2.1393 1.2351 6.4065
Cr 0.0000 2.4702 13.2432
```

=====

(3)
The following is a PBE-GGA calculation of a geometry-optimized TiBe2Cr2 structure, from Alexandria via LeMat-Bulk. Values from VASP.

Calculated values
E in eV per atom: -6.937
Density in g cm⁻³: 5.104
Total moment in μB/f.u.: 0.000
E_form in meV per atom: -18

The structure in Quantum ESPRESSO input format:
```
&SYSTEM
  ibrav = 0, nat = 10, ntyp = 3
/
ATOMIC_SPECIES
Cr 52.00 Cr.upf
Be 9.01 Be.upf
Ti 47.87 Ti.upf
CELL_PARAMETERS angstrom
-4.1587 -3.4134 -2.8411
3.3120 0.2094 -5.0995
1.4522 -2.4698 0.8417
ATOMIC_POSITIONS angstrom
Cr 2.2334 -1.6928 -3.5231
Cr 0.6471 -3.3683 -5.7027
Cr -1.6280 -3.9811 -3.5759
Cr -0.0416 -2.3055 -1.3962
Be 1.3316 -1.1230 -5.5925
Be -1.6300 -2.8855 -5.6547
Be -2.1783 -2.0810 -2.3481
Be 0.7833 -0.3185 -2.2859
Ti 0.0000 0.0000 0.0000
Ti -0.4233 -1.6020 -3.9703
```

=====

Question: Look up the total moment of the first one.
Answer: 0.000 μB/f.u.